1.
Compound: RbLiSbTe
Source: Alexandria via LeMat-Bulk
Functional: PBE
Structure: relaxed

Values from the calculation:
Raw formation energy in eV/atom: -0.6624

```
8
Lattice="4.3527 0.0000 0.0000 0.0000 4.3527 0.0000 0.0000 0.0000 14.4272" Properties=species:S:1:pos:R:3 pbc="T T T"
Rb 1.0882 1.0882 3.5285
Rb 3.2645 3.2645 10.8986
Li 1.0882 3.2645 7.2136
Li 3.2645 1.0882 7.2136
Sb 1.0882 3.2645 0.0000
Sb 3.2645 1.0882 0.0000
Te 1.0882 1.0882 8.9461
Te 3.2645 3.2645 5.4811
```



2.
Compound: Dy2TmPt3
Source: Alexandria via LeMat-Bulk
Functional: PBE
Structure: relaxed

Values from the calculation:
Energy relative to the elements in kJ/mol of formula units: -721

```
6
Lattice="2.4694 -7.4207 0.0000 2.4694 7.4207 0.0000 0.0000 0.0000 3.4430" Properties=species:S:1:pos:R:3 pbc="T T T"
Dy 2.4694 4.9496 0.0000
Dy 2.4694 -4.9496 0.0000
Tm 2.4694 0.0000 0.0000
Pt 0.0000 0.0000 1.7215
Pt 2.4694 2.4150 1.7215
Pt 2.4694 -2.4150 1.7215
```